! BaAs2Cl | the Alexandria database | SCAN | PBEsol geometry; values from VASP
! **Polymorph energy (0 for the lowest one)**: 0.185 eV per atom
! **Spin magnetization**: 0.00 μB/cell
&SYSTEM
  ibrav = 0, nat = 8, ntyp = 3
/
ATOMIC_SPECIES
Ba 137.33 Ba.upf
As 74.92 As.upf
Cl 35.45 Cl.upf
CELL_PARAMETERS angstrom
4.176 0.000 0.000
0.000 4.176 0.000
-2.088 -2.088 13.041
ATOMIC_POSITIONS crystal
Ba 0.000 0.000 0.000
As 0.451 0.375 0.250
As 0.125 0.549 0.750
As 0.625 0.201 0.750
As 0.799 0.875 0.250
Ba 0.250 0.750 0.500
Cl 0.500 0.500 0.000
Cl 0.750 0.250 0.500